Here is an optimized crystal structure of Ho2ThPaTc2 from the Alexandria database. Energies are from PBE.

Lattice parameters (Å, degrees): 6.8232 7.0674 8.2496 115.36 114.43 90.00
Closest atoms and distances in Å follow each position.
Element x y z (fractional)
Tc 0.5957 0.3783 0.1913  2 Pa 2.62, 1 Ho 2.84, 2 Th 2.92
Pa 0.2500 0.5000 0.0000  4 Tc 2.62
Ho 0.3038 0.1162 0.6076  2 Tc 2.84-3.16
Tc 0.9043 0.1869 0.8087  2 Pa 2.62, 1 Ho 2.84, 2 Th 2.92
Tc 0.4043 0.6217 0.8087  2 Pa 2.62, 1 Ho 2.84, 2 Th 2.92
Th 0.2500 0.0000 0.0000  4 Tc 2.92
Tc 0.0957 0.8131 0.1913  2 Pa 2.62, 1 Ho 2.84, 2 Th 2.92
Ho 0.1962 0.5086 0.3924  2 Tc 2.84-3.16
Pa 0.7500 0.5000 0.0000  4 Tc 2.62
Th 0.7500 0.0000 0.0000  4 Tc 2.92
Ho 0.8038 0.4914 0.6076  2 Tc 2.84-3.16
Ho 0.6962 0.8838 0.3924  2 Tc 2.84-3.16

## Properties
For the formation enthalpy at 0 K, the calculation gives -0.060 eV per atom. As for the density of states at the Fermi level: 12.1 states/eV per cell. The calculation puts the energy at -7.86 eV per atom.